(1)
Below is a relaxed structure of Pa2BiOs, with properties calculated at the PBE level.

- D(E_F): 20.78 states/eV per cell
- Formation energy: 13.5 kJ/mol of atoms
- Excess energy over the best structure of this formula in the dataset: 371 meV per atom
- Final energy: -8.386 eV per atom

Structure (CIF):
```
data_Pa2BiOs
_chemical_formula_sum 'Pa6 Bi3 Os3'
_cell_length_a 3.8344
_cell_length_b 3.8344
_cell_length_c 28.9439
_cell_angle_alpha 90.00
_cell_angle_beta 90.00
_cell_angle_gamma 120.00
_symmetry_space_group_name_H-M 'R -3 m'
_symmetry_Int_Tables_number 166
_symmetry_space_group_name_Hall '-R 3 2"'
loop_
_atom_site_label
_atom_site_fract_x
_atom_site_fract_y
_atom_site_fract_z
Pa1 0.0000 0.0000 0.1111
Bi1 0.0000 0.0000 0.0000
Os1 0.0000 0.0000 0.5000
```

---

(2)
Below is a relaxed structure of Pa3BiOs, with properties calculated at the PBE level.

- D(E_F): 19.03 states/eV per cell
- Formation energy: -0.5 kJ/mol of atoms
- Final energy: -8.725 eV per atom

Structure (CIF):
```
data_Pa3BiOs
_chemical_formula_sum 'Pa6 Bi2 Os2'
_cell_length_a 3.294
_cell_length_b 10.575
_cell_length_c 7.506
_cell_angle_alpha 90.00
_cell_angle_beta 102.61
_cell_angle_gamma 90.00
_symmetry_space_group_name_H-M 'P 1 21/m 1'
_symmetry_Int_Tables_number 11
loop_
_symmetry_equiv_pos_as_xyz
'x,y,z'
'-x,-y,-z'
'-x,y+1/2,-z'
'x,-y+1/2,z'
loop_
_atom_site_label
_atom_site_fract_x
_atom_site_fract_y
_atom_site_fract_z
Pa1 0.001 0.250 0.007
Pa2 0.338 0.056 0.677
Bi1 0.300 0.750 0.596
Os1 0.000 0.000 0.000
```

---

(3)
Below is a relaxed structure of Pa2BiOs, with properties calculated at the PBE level.

- D(E_F): 4.68 states/eV per cell
- Formation energy: -20.6 kJ/mol of atoms
- Excess energy over the best structure of this formula in the dataset: 18 meV per atom
- Final energy: -8.739 eV per atom

Structure (CIF):
```
data_Pa2BiOs
_chemical_formula_sum 'Pa2 Bi1 Os1'
_cell_length_a 4.0610
_cell_length_b 4.0610
_cell_length_c 7.5739
_cell_angle_alpha 90.00
_cell_angle_beta 90.00
_cell_angle_gamma 120.00
_symmetry_space_group_name_H-M 'P -3 m 1'
_symmetry_Int_Tables_number 164
_symmetry_space_group_name_Hall '-P 3 2"'
loop_
_atom_site_label
_atom_site_fract_x
_atom_site_fract_y
_atom_site_fract_z
Pa1 0.3333 0.6667 0.3003
Bi1 0.0000 0.0000 0.0000
Os1 0.0000 0.0000 0.5000
```

---

(4)
Below is a relaxed structure of Pa3Bi2Os, with properties calculated at the PBE level.

- D(E_F): 40.69 states/eV per cell
- Formation energy: -21.1 kJ/mol of atoms
- Final energy: -8.132 eV per atom

Structure (CIF):
```
data_Pa3Bi2Os
_chemical_formula_sum 'Pa12 Bi8 Os4'
_cell_length_a 7.381
_cell_length_b 12.732
_cell_length_c 7.736
_cell_angle_alpha 90.00
_cell_angle_beta 108.67
_cell_angle_gamma 90.00
_symmetry_space_group_name_H-M 'C 1 2/m 1'
_symmetry_Int_Tables_number 12
loop_
_symmetry_equiv_pos_as_xyz
'x,y,z'
'-x,-y,-z'
'-x,y,-z'
'x,-y,z'
'x+1/2,y+1/2,z'
'-x+1/2,-y+1/2,-z'
'-x+1/2,y+1/2,-z'
'x+1/2,-y+1/2,z'
loop_
_atom_site_label
_atom_site_fract_x
_atom_site_fract_y
_atom_site_fract_z
Pa1 0.198 0.000 0.203
Pa2 0.244 0.185 0.788
Bi1 0.000 0.000 0.500
Bi2 0.000 0.349 0.500
Bi3 0.000 0.500 0.000
Os1 0.000 0.168 0.000
```

---

(5)
Below is a relaxed structure of PuPaBiOs, with properties calculated at the PBE level.

- D(E_F): 9.65 states/eV per cell
- Formation energy: -22.1 kJ/mol of atoms
- Final energy: -9.964 eV per atom

Structure (CIF):
```
data_PuPaBiOs
_chemical_formula_sum 'Pu1 Pa1 Bi1 Os1'
_cell_length_a 3.301
_cell_length_b 3.301
_cell_length_c 8.874
_cell_angle_alpha 90.00
_cell_angle_beta 90.00
_cell_angle_gamma 90.00
_symmetry_space_group_name_H-M 'P 4 m m'
_symmetry_Int_Tables_number 99
loop_
_symmetry_equiv_pos_as_xyz
'x,y,z'
'-y,x,z'
'-x,-y,z'
'y,-x,z'
'-x,y,z'
'y,x,z'
'x,-y,z'
'-y,-x,z'
loop_
_atom_site_label
_atom_site_fract_x
_atom_site_fract_y
_atom_site_fract_z
Pu1 0.000 0.000 0.000
Pa1 0.000 0.000 0.592
Bi1 0.500 0.500 0.298
Os1 0.500 0.500 0.783
```

---

(6)
Below is a relaxed structure of ThPaBiOs, with properties calculated at the PBE level.

- D(E_F): 6.58 states/eV per cell
- Formation energy: -34.0 kJ/mol of atoms
- Final energy: -8.359 eV per atom

Structure (CIF):
```
data_ThPaBiOs
_chemical_formula_sum 'Th3 Pa3 Bi3 Os3'
_cell_length_a 4.1471
_cell_length_b 4.1471
_cell_length_c 22.9300
_cell_angle_alpha 90.00
_cell_angle_beta 90.00
_cell_angle_gamma 120.00
_symmetry_space_group_name_H-M 'R 3 m'
_symmetry_Int_Tables_number 160
_symmetry_space_group_name_Hall 'R 3 -2"'
loop_
_atom_site_label
_atom_site_fract_x
_atom_site_fract_y
_atom_site_fract_z
Th1 0.0000 0.0000 0.0000
Pa1 0.0000 0.0000 0.7996
Bi1 0.0000 0.0000 0.2288
Os1 0.0000 0.0000 0.4061
```

---

(7)
Below is a relaxed structure of BiOs3Pb, with properties calculated at the PBE level.

- D(E_F): 9.52 states/eV per cell
- Formation energy: 257.4 kJ/mol of atoms
- Excess energy over the best structure of this formula in the dataset: 0 meV per atom
- Final energy: -5.588 eV per atom

Structure (CIF):
```
data_BiOs3Pb
_chemical_formula_sum 'Bi1 Os3 Pb1'
_cell_length_a 5.045
_cell_length_b 5.045
_cell_length_c 5.045
_cell_angle_alpha 90.00
_cell_angle_beta 90.00
_cell_angle_gamma 90.00
_symmetry_space_group_name_H-M 'P m -3 m'
_symmetry_Int_Tables_number 221
_symmetry_space_group_name_Hall '-P 4 2 3'
loop_
_atom_site_label
_atom_site_fract_x
_atom_site_fract_y
_atom_site_fract_z
Bi1 0.000 0.000 0.000
Os1 0.000 0.000 0.500
Pb1 0.500 0.500 0.500
```

---

(8)
Below is a relaxed structure of BiOs2Pb, with properties calculated at the PBE level.

- D(E_F): 13.56 states/eV per cell
- Formation energy: 105.9 kJ/mol of atoms
- Excess energy over the best structure of this formula in the dataset: 0 meV per atom
- Final energy: -6.415 eV per atom

Structure (CIF):
```
data_BiOs2Pb
_chemical_formula_sum 'Bi4 Os8 Pb4'
_cell_length_a 6.763
_cell_length_b 6.763
_cell_length_c 6.763
_cell_angle_alpha 90.00
_cell_angle_beta 90.00
_cell_angle_gamma 90.00
_symmetry_space_group_name_H-M 'F m -3 m'
_symmetry_Int_Tables_number 225
_symmetry_space_group_name_Hall '-F 4 2 3'
loop_
_atom_site_label
_atom_site_fract_x
_atom_site_fract_y
_atom_site_fract_z
Bi1 0.000 0.000 0.000
Os1 0.250 0.250 0.250
Pb1 0.000 0.000 0.500
```

---

(9)
Below is a relaxed structure of BiOsPb3, with properties calculated at the PBE level.

- D(E_F): 4.68 states/eV per cell
- Formation energy: 42.4 kJ/mol of atoms
- Excess energy over the best structure of this formula in the dataset: 0 meV per atom
- Final energy: -4.807 eV per atom

Structure (CIF):
```
data_BiOsPb3
_chemical_formula_sum 'Bi1 Os1 Pb3'
_cell_length_a 5.335
_cell_length_b 5.335
_cell_length_c 5.335
_cell_angle_alpha 90.00
_cell_angle_beta 90.00
_cell_angle_gamma 90.00
_symmetry_space_group_name_H-M 'P m -3 m'
_symmetry_Int_Tables_number 221
_symmetry_space_group_name_Hall '-P 4 2 3'
loop_
_atom_site_label
_atom_site_fract_x
_atom_site_fract_y
_atom_site_fract_z
Bi1 0.000 0.000 0.000
Os1 0.500 0.500 0.500
Pb1 0.000 0.500 0.500
```

---

(10)
Below is a relaxed structure of Bi2Os2Pb, with properties calculated at the PBE level.

- D(E_F): 13.50 states/eV per cell
- Formation energy: 60.9 kJ/mol of atoms
- Excess energy over the best structure of this formula in the dataset: 0 meV per atom
- Final energy: -6.154 eV per atom

Structure (CIF):
```
data_Bi2Os2Pb
_chemical_formula_sum 'Bi4 Os4 Pb2'
_cell_length_a 3.682
_cell_length_b 3.682
_cell_length_c 19.176
_cell_angle_alpha 90.00
_cell_angle_beta 90.00
_cell_angle_gamma 90.00
_symmetry_space_group_name_H-M 'I 4/m m m'
_symmetry_Int_Tables_number 139
_symmetry_space_group_name_Hall '-I 4 2'
loop_
_atom_site_label
_atom_site_fract_x
_atom_site_fract_y
_atom_site_fract_z
Bi1 0.000 0.000 0.132
Os1 0.000 0.500 0.250
Pb1 0.000 0.000 0.500
```

---

(11)
Below is a relaxed structure of BiOs2Pb, with properties calculated at the PBE level.

- D(E_F): 26.04 states/eV per cell
- Formation energy: 163.7 kJ/mol of atoms
- Excess energy over the best structure of this formula in the dataset: 599 meV per atom
- Final energy: -5.816 eV per atom

Structure (CIF):
```
data_BiOs2Pb
_chemical_formula_sum 'Bi4 Os8 Pb4'
_cell_length_a 6.138
_cell_length_b 6.138
_cell_length_c 12.303
_cell_angle_alpha 90.00
_cell_angle_beta 90.00
_cell_angle_gamma 90.00
_symmetry_space_group_name_H-M 'I -4 2 d'
_symmetry_Int_Tables_number 122
_symmetry_space_group_name_Hall 'I -4 2bw'
loop_
_atom_site_label
_atom_site_fract_x
_atom_site_fract_y
_atom_site_fract_z
Bi1 0.000 0.000 0.000
Os1 0.246 0.250 0.125
Pb1 0.000 0.000 0.500
```

---

(12)
Below is a relaxed structure of Bi2Os2Pb, with properties calculated at the PBE level.

- D(E_F): 9.32 states/eV per cell
- Formation energy: 98.4 kJ/mol of atoms
- Excess energy over the best structure of this formula in the dataset: 389 meV per atom
- Final energy: -5.766 eV per atom

Structure (CIF):
```
data_Bi2Os2Pb
_chemical_formula_sum 'Bi4 Os4 Pb2'
_cell_length_a 8.389
_cell_length_b 8.389
_cell_length_c 3.189
_cell_angle_alpha 90.00
_cell_angle_beta 90.00
_cell_angle_gamma 90.00
_symmetry_space_group_name_H-M 'P 4/m b m'
_symmetry_Int_Tables_number 127
_symmetry_space_group_name_Hall '-P 4 2ab'
loop_
_atom_site_label
_atom_site_fract_x
_atom_site_fract_y
_atom_site_fract_z
Bi1 0.145 0.355 0.000
Os1 0.143 0.643 0.500
Pb1 0.000 0.000 0.000
```